1.
The following is a PBE-GGA calculation of a relaxed Na2SbPbO crystal, from Alexandria.

a = 4.5966 Å, b = 4.5966 Å, c = 5.1179 Å
α = 90.00°, β = 90.00°, γ = 90.00°
Closest atoms and distances in Å follow each position.
Fractional positions:
Pb (0.0000, 0.0000, 0.5000)  2 O 2.56
Na (0.5000, 0.0000, 0.0000)  2 O 2.30
Na (0.0000, 0.5000, 0.0000)  2 O 2.30
Sb (0.5000, 0.5000, 0.5000)  4 Pb 3.25, 8 Na 3.44
O (0.0000, 0.0000, 0.0000)  4 Na 2.30, 2 Pb 2.56

Computed properties:
- space group = P4/mmm (123)
- calculated total energy (eV per atom) = -3.782
- calculated density (g/cm³) = 6.0
- raw formation energy (eV/atom) = -0.70
- magnetic moment (μB per cell) = 0.00


2.
The following is a PBE-GGA calculation of a relaxed NiSn2Au2 crystal, from Alexandria.

a = 4.1747 Å, b = 4.1747 Å, c = 11.8524 Å
α = 100.10°, β = 100.10°, γ = 90.24°
Closest atoms and distances in Å follow each position.
Fractional positions:
Au (0.8284, 0.8284, 0.6568)  2 Ni 2.76, 4 Sn 2.97-2.98, 2 Au 2.99
Au (0.4216, 0.9216, 0.8432)  2 Ni 2.76, 4 Sn 2.97-2.98, 2 Au 2.99
Au (0.0784, 0.5784, 0.1568)  2 Ni 2.76, 4 Sn 2.97-2.98, 2 Au 2.99
Au (0.1716, 0.1716, 0.3432)  2 Ni 2.76, 4 Sn 2.97-2.98, 2 Au 2.99
Sn (0.3129, 0.3129, 0.6257)  2 Ni 2.54
Sn (0.5629, 0.0629, 0.1257)  2 Ni 2.54
Sn (0.9371, 0.4371, 0.8743)  2 Ni 2.54
Sn (0.6871, 0.6871, 0.3743)  2 Ni 2.54
Ni (0.7500, 0.2500, 0.5000)  4 Sn 2.54, 4 Au 2.76
Ni (0.5000, 0.5000, 0.0000)  4 Sn 2.54, 4 Au 2.76

Computed properties:
- space group = Fddd (70)
- distance to the lowest polymorph of the same formula (meV per atom) = 0
- calculated total energy (eV per atom) = -4.176
- calculated density (g/cm³) = 11.5
- energy of formation (eV per atom) = -0.11
- magnetic moment (μB per cell) = 0.00


3.
The following is a PBE-GGA calculation of a relaxed Tm3Sc2Pb3 crystal, from Alexandria.

a = 6.3126 Å, b = 8.8044 Å, c = 8.8044 Å
α = 120.00°, β = 90.00°, γ = 90.00°
Closest atoms and distances in Å follow each position.
Fractional positions:
Tm (0.7500, 0.7638, 0.7638)  3 Pb 3.06-3.21
Tm (0.7500, 0.2362, 0.0000)  3 Pb 3.06-3.21
Tm (0.2500, 0.7638, 0.0000)  3 Pb 3.06-3.21
Tm (0.2500, 0.2362, 0.2362)  3 Pb 3.06-3.21
Tm (0.7500, 0.0000, 0.2362)  3 Pb 3.06-3.21
Tm (0.2500, 0.0000, 0.7638)  3 Pb 3.06-3.21
Pb (0.7500, 0.3993, 0.3993)  3 Tm 3.06-3.21, 4 Sc 3.12
Pb (0.2500, 0.3993, 0.0000)  3 Tm 3.06-3.21, 4 Sc 3.12
Pb (0.2500, 0.6007, 0.6007)  3 Tm 3.06-3.21, 4 Sc 3.12
Pb (0.7500, 0.0000, 0.6007)  3 Tm 3.06-3.21, 4 Sc 3.12
Pb (0.2500, 0.0000, 0.3993)  3 Tm 3.06-3.21, 4 Sc 3.12
Pb (0.7500, 0.6007, 0.0000)  3 Tm 3.06-3.21, 4 Sc 3.12
Sc (0.0000, 0.3333, 0.6667)  6 Pb 3.12, 2 Sc 3.16
Sc (0.5000, 0.3333, 0.6667)  6 Pb 3.12, 2 Sc 3.16
Sc (0.5000, 0.6667, 0.3333)  6 Pb 3.12, 2 Sc 3.16
Sc (0.0000, 0.6667, 0.3333)  6 Pb 3.12, 2 Sc 3.16

Computed properties:
- space group = P6_3/mcm (193)
- calculated total energy (eV per atom) = -5.159
- calculated density (g/cm³) = 9.5
- energy of formation (eV per atom) = -0.51
- magnetic moment (μB per cell) = 0.00


4.
The following is a PBE-GGA calculation of a relaxed BaCa2NF crystal, from Alexandria.

a = 4.5426 Å, b = 6.4214 Å, c = 4.5426 Å
α = 90.00°, β = 90.00°, γ = 90.00°
Closest atoms and distances in Å follow each position.
Fractional positions:
N (0.5000, 0.5000, 0.5000)  4 Ba 3.21
F (0.0000, 0.0000, 0.0000)  4 Ca 2.27
Ca (0.5000, 0.0000, 0.0000)  2 F 2.27
Ca (0.0000, 0.0000, 0.5000)  2 F 2.27
Ba (0.0000, 0.5000, 0.0000)  2 F 3.21, 4 N 3.21

Computed properties:
- space group = P4/mmm (123)
- calculated total energy (eV per atom) = -3.677
- calculated density (g/cm³) = 3.1
- raw formation energy (eV/atom) = -0.45
- magnetic moment (μB per cell) = 0.00


5.
The following is a PBE-GGA calculation of a relaxed MgZr2MoC crystal, from Alexandria.

a = 4.6573 Å, b = 4.6573 Å, c = 4.1091 Å
α = 90.00°, β = 90.00°, γ = 90.00°
Closest atoms and distances in Å follow each position.
Fractional positions:
Zr (0.0000, 0.5000, 0.0000)  2 C 2.33
Zr (0.5000, 0.0000, 0.0000)  2 C 2.33
C (0.0000, 0.0000, 0.0000)  2 Mo 2.05
Mo (0.0000, 0.0000, 0.5000)  2 C 2.05
Mg (0.5000, 0.5000, 0.5000)  8 Zr 3.11, 4 Mo 3.29

Computed properties:
- space group = P4/mmm (123)
- calculated total energy (eV per atom) = -7.965
- calculated density (g/cm³) = 5.9
- energy of formation (eV per atom) = -0.22
- magnetic moment (μB per cell) = 0.00


6.
The following is a PBE-GGA calculation of a relaxed Li6CuF8 crystal, from Alexandria.

a = 5.8310 Å, b = 5.8310 Å, c = 5.9499 Å
α = 63.00°, β = 63.00°, γ = 58.60°
Closest atoms and distances in Å follow each position.
Fractional positions:
Li (0.1550, 0.1550, 0.0329)  2 F 1.79-1.91
Li (0.0000, 0.0000, 0.5000)  6 F 1.93-2.16
Li (0.5000, 0.0000, 0.5000)  4 F 1.91-2.06
Li (0.8450, 0.8450, 0.9671)  2 F 1.79-1.91
Li (0.5000, 0.5000, 0.5000)  6 F 1.91-2.12
Li (0.0000, 0.5000, 0.5000)  4 F 1.91-2.06
F (0.7439, 0.2549, 0.2319)  1 Cu 1.96, 4 Li 2.02-2.18
F (0.2803, 0.2803, 0.6815)  4 Li 1.79-1.91
F (0.2549, 0.7439, 0.2319)  1 Cu 1.96, 4 Li 2.02-2.18
F (0.7197, 0.7197, 0.3185)  4 Li 1.79-1.91
F (0.2220, 0.2220, 0.2788)  4 Li 1.91-2.06
F (0.2561, 0.7451, 0.7681)  1 Cu 1.96, 4 Li 2.02-2.18
F (0.7780, 0.7780, 0.7212)  4 Li 1.91-2.06
F (0.7451, 0.2561, 0.7681)  1 Cu 1.96, 4 Li 2.02-2.18
Cu (0.5000, 0.5000, 0.0000)  4 F 1.96

Computed properties:
- space group = C2/m (12)
- distance to the lowest polymorph of the same formula (meV per atom) = 20
- calculated total energy (eV per atom) = -4.647
- calculated density (g/cm³) = 2.9
- raw formation energy (eV/atom) = -2.61
- magnetic moment (μB per cell) = 1.00


7.
The following is a PBE-GGA calculation of a relaxed SbP2CO crystal, from Alexandria.

a = 4.2479 Å, b = 4.2479 Å, c = 3.6069 Å
α = 90.00°, β = 90.00°, γ = 90.00°
Closest atoms and distances in Å follow each position.
Fractional positions:
P (0.0000, 0.5000, 0.0000)  2 C 2.12
P (0.5000, 0.0000, 0.0000)  2 C 2.12
Sb (0.5000, 0.5000, 0.5000)  8 P 2.79, 4 O 3.00
C (0.0000, 0.0000, 0.0000)  2 O 1.80
O (0.0000, 0.0000, 0.5000)  2 C 1.80

Computed properties:
- space group = P4/mmm (123)
- distance to the lowest polymorph of the same formula (meV per atom) = 0
- calculated total energy (eV per atom) = -4.904
- calculated density (g/cm³) = 5.4
- raw formation energy (eV/atom) = 0.92
- magnetic moment (μB per cell) = 0.00


8.
The following is a PBE-GGA calculation of a relaxed Mg2CdHAu crystal, from Alexandria.

a = 4.3986 Å, b = 4.3986 Å, c = 4.1509 Å
α = 90.00°, β = 90.00°, γ = 90.00°
Closest atoms and distances in Å follow each position.
Fractional positions:
Mg (0.0000, 0.5000, 0.0000)  2 H 2.20
Mg (0.5000, 0.0000, 0.0000)  2 H 2.20
Au (0.5000, 0.5000, 0.5000)  8 Mg 3.02, 4 Cd 3.11
H (0.0000, 0.0000, 0.0000)  2 Cd 2.08, 4 Mg 2.20
Cd (0.0000, 0.0000, 0.5000)  2 H 2.08

Computed properties:
- space group = P4/mmm (123)
- calculated total energy (eV per atom) = -2.292
- calculated density (g/cm³) = 7.4
- magnetic moment (μB per cell) = 0.00


9.
The following is a PBE-GGA calculation of a relaxed ZnTcS2 crystal, from Alexandria.

a = 7.8199 Å, b = 7.8199 Å, c = 7.8199 Å
α = 23.90°, β = 23.90°, γ = 23.90°
Closest atoms and distances in Å follow each position.
Fractional positions:
S (0.9017, 0.9017, 0.9017)  1 Tc 2.24, 3 Zn 2.43
S (0.0983, 0.0983, 0.0983)  1 Tc 2.24, 3 Zn 2.43
Tc (0.0000, 0.0000, 0.0000)  2 S 2.24
Zn (0.5000, 0.5000, 0.5000)  6 S 2.43

Computed properties:
- space group = R-3m (166)
- calculated total energy (eV per atom) = -4.760
- calculated density (g/cm³) = 5.5
- raw formation energy (eV/atom) = 0.21
- magnetic moment (μB per cell) = 0.00


10.
The following is a PBE-GGA calculation of a relaxed CaZrBe2 crystal, from Alexandria.

a = 4.6777 Å, b = 4.6777 Å, c = 4.6777 Å
α = 60.00°, β = 60.00°, γ = 60.00°
Closest atoms and distances in Å follow each position.
Fractional positions:
Ca (0.0000, 0.0000, 0.0000)  8 Be 2.86
Zr (0.5000, 0.5000, 0.5000)  8 Be 2.86
Be (0.2500, 0.2500, 0.2500)  4 Zr 2.86, 4 Ca 2.86
Be (0.7500, 0.7500, 0.7500)  4 Zr 2.86, 4 Ca 2.86

Computed properties:
- space group = Fm-3m (225)
- distance to the lowest polymorph of the same formula (meV per atom) = 197
- calculated total energy (eV per atom) = -4.171
- calculated density (g/cm³) = 3.4
- energy of formation (eV per atom) = 0.33
- magnetic moment (μB per cell) = 0.00


11.
The following is a PBE-GGA calculation of a relaxed Ba3HoHf2O9 crystal, from Alexandria.

a = 6.0525 Å, b = 6.0525 Å, c = 7.4269 Å
α = 90.00°, β = 90.00°, γ = 120.00°
Closest atoms and distances in Å follow each position.
Fractional positions:
O (0.5000, 0.5000, 0.0000)  2 Hf 2.13
O (0.6546, 0.8273, 0.3235)  1 Hf 2.06, 1 Ho 2.24
O (0.1727, 0.3454, 0.3235)  1 Hf 2.06, 1 Ho 2.24
O (0.8273, 0.6546, 0.6765)  1 Hf 2.06, 1 Ho 2.24
O (0.0000, 0.5000, 0.0000)  2 Hf 2.13
O (0.3454, 0.1727, 0.6765)  1 Hf 2.06, 1 Ho 2.24
O (0.8273, 0.1727, 0.6765)  1 Hf 2.06, 1 Ho 2.24
O (0.1727, 0.8273, 0.3235)  1 Hf 2.06, 1 Ho 2.24
O (0.5000, 0.0000, 0.0000)  2 Hf 2.13
Ba (0.0000, 0.0000, 0.0000)  12 O 3.01-3.03
Ba (0.6667, 0.3333, 0.3345)  12 O 3.03-3.05
Ba (0.3333, 0.6667, 0.6655)  12 O 3.03-3.05
Ho (0.0000, 0.0000, 0.5000)  6 O 2.24
Hf (0.3333, 0.6667, 0.1631)  6 O 2.06-2.13
Hf (0.6667, 0.3333, 0.8369)  6 O 2.06-2.13

Computed properties:
- space group = P-3m1 (164)
- calculated total energy (eV per atom) = -8.160
- calculated density (g/cm³) = 7.6
- raw formation energy (eV/atom) = -3.17
- magnetic moment (μB per cell) = 0.50


12.
The following is a PBE-GGA calculation of a relaxed YSi2 crystal, from Alexandria.

a = 7.9222 Å, b = 7.9222 Å, c = 7.9222 Å
α = 151.09°, β = 151.09°, γ = 41.35°
Closest atoms and distances in Å follow each position.
Fractional positions:
Si (0.4186, 0.4186, 0.0000)  3 Si 2.36-2.41
Si (0.1686, 0.6686, 0.5000)  3 Si 2.36-2.41
Si (0.5814, 0.5814, 0.0000)  3 Si 2.36-2.41
Si (0.3314, 0.8314, 0.5000)  3 Si 2.36-2.41
Y (0.7500, 0.2500, 0.5000)  12 Si 3.05-3.19
Y (0.0000, 0.0000, 0.0000)  12 Si 3.05-3.19

Computed properties:
- space group = I4_1/amd (141)
- calculated total energy (eV per atom) = -6.314
- calculated density (g/cm³) = 4.2
- raw formation energy (eV/atom) = -0.54
- magnetic moment (μB per cell) = 0.00